Na3Ga2CoO6: relaxed, PBE with a Hubbard U.

Properties
As for the crystal system: monoclinic. As for the energy: -5.37 eV per atom. Its volume is 10.36 Å³ per atom.

Structure (CIF):
```
data_Na3Ga2CoO6
_symmetry_space_group_name_H-M 'P 1'
_symmetry_Int_Tables_number 1
_cell_length_a 5.1790
_cell_length_b 5.1790
_cell_length_c 5.6262
_cell_angle_alpha 98.83
_cell_angle_beta 98.83
_cell_angle_gamma 120.01
loop_
_symmetry_equiv_pos_as_xyz
'x,y,z'
loop_
_atom_site_label
_atom_site_type_symbol
_atom_site_fract_x
_atom_site_fract_y
_atom_site_fract_z
Co1 Co 0.0000 0.0000 0.0000
O1 O 0.7401 0.7401 0.1945
O2 O 0.0651 0.3902 0.1959
O3 O 0.6098 0.9349 0.8041
O4 O 0.9349 0.6098 0.8041
O5 O 0.3902 0.0651 0.1959
O6 O 0.2599 0.2599 0.8055
Na1 Na 0.1649 0.8351 0.5000
Na2 Na 0.5000 0.5000 0.5000
Na3 Na 0.8351 0.1649 0.5000
Ga1 Ga 0.3332 0.6668 0.0000
Ga2 Ga 0.6668 0.3332 0.0000
```